Entry 1:
A plane-wave DFT calculation with PBE was carried out for a relaxed Na3SnGe crystal.

The calculated formation energy comes out at 0.327 eV per atom. The energy above the lowest structure with this stoichiometry comes out at 433.5 meV per atom. Its total magnetization is 0.00 μB per formula unit.

The structure belongs to space group Pm-3m (No. 221); the cell edges are 5.488, 5.488 and 5.488 Å and the angles 90.00°, 90.00° and 90.00°. Symmetry generates all atoms from Na at (0.000, 0.000, 0.500), Sn at (0.500, 0.500, 0.500) and Ge at (0.000, 0.000, 0.000).



Entry 2:
A plane-wave DFT calculation with PBE was carried out for a relaxed NaSnGe2 crystal.

The calculated formation energy comes out at 0.145 eV per atom. The energy above the lowest structure with this stoichiometry comes out at 82.5 meV per atom. Its total magnetization is 0.00 μB per formula unit.

The structure belongs to space group R-3m (No. 166, hexagonal axes); the cell edges are 3.5151, 3.5151 and 27.0134 Å and the angles 90.00°, 90.00° and 120.00°. Symmetry generates all atoms from Na at (0.0000, 0.0000, 0.0000), Sn at (0.0000, 0.0000, 0.5000) and Ge at (0.0000, 0.0000, 0.2443).



Entry 3:
A plane-wave DFT calculation with PBE was carried out for a relaxed Na3SnGe crystal.

The calculated formation energy comes out at -0.060 eV per atom. The energy above the lowest structure with this stoichiometry comes out at 46.1 meV per atom. Its total magnetization is 0.00 μB per formula unit.

The structure belongs to space group C2/m (No. 12); the cell edges are 11.009, 9.507 and 7.508 Å and the angles 90.00°, 130.03° and 90.00°. Symmetry generates all atoms from Na at (0.055, 0.000, 0.338), Na at (0.216, 0.304, 0.759), Sn at (0.078, 0.500, 0.307) and Ge at (0.218, 0.500, 0.105).



Entry 4:
A plane-wave DFT calculation with PBE was carried out for a relaxed NaSn2Ge crystal.

The calculated formation energy comes out at 0.037 eV per atom. The energy above the lowest structure with this stoichiometry comes out at 69.8 meV per atom. Its total magnetization is 0.00 μB per formula unit.

The structure belongs to space group R3m (No. 160, hexagonal axes); the cell edges are 3.7778, 3.7778 and 26.3231 Å and the angles 90.00°, 90.00° and 120.00°. Symmetry generates all atoms from Na at (0.0000, 0.0000, 0.0000), Sn at (0.0000, 0.0000, 0.5698), Sn at (0.0000, 0.0000, 0.7633) and Ge at (0.0000, 0.0000, 0.1664).